Entry 1:
First-principles (PBE-GGA) data for CaNi3I after structural relaxation, as listed in Alexandria via LeMat-Bulk.

The formation energy without anion corrections is 12.02 kcal/mol of atoms. The calculation puts the energy relative to the lowest polymorph listed for this composition at 0 meV/atom.

It has space group Pm-3m (No. 221), with a = 4.690 Å, b = 4.690 Å, c = 4.690 Å, α = 90.00°, β = 90.00° and γ = 90.00°. The inequivalent atoms are Ca at (0.000, 0.000, 0.000), Ni at (0.000, 0.500, 0.500) and I at (0.500, 0.500, 0.500).

Entry 2:
First-principles (PBE-GGA) data for U3Si4Ni2 after structural relaxation, as listed in Alexandria via LeMat-Bulk.

The formation energy without anion corrections is -11.29 kcal/mol of atoms. The calculation puts the energy relative to the lowest polymorph listed for this composition at 0 meV/atom.

It has space group C2/m (No. 12), with a = 10.479 Å, b = 3.993 Å, c = 8.075 Å, α = 90.00°, β = 114.55° and γ = 90.00°. The inequivalent atoms are U at (0.000, 0.000, 0.000), U at (0.101, 0.500, 0.654), Si at (0.118, 0.000, 0.401), Si at (0.226, 0.500, 0.061) and Ni at (0.181, 0.500, 0.312).

Entry 3:
First-principles (PBE-GGA) data for LiAcAlGe after structural relaxation, as listed in Alexandria via LeMat-Bulk.

The value obtained for the formation energy is -0.197 eV per atom.

It has space group F-43m (No. 216), with a = 7.363 Å, b = 7.363 Å, c = 7.363 Å, α = 90.00°, β = 90.00° and γ = 90.00°. The inequivalent atoms are Li at (0.000, 0.000, 0.000), Ac at (0.000, 0.000, 0.500), Al at (0.250, 0.250, 0.250) and Ge at (0.250, 0.250, 0.750).

Entry 4:
First-principles (PBE-GGA) data for Pu2SnRu2 after structural relaxation, as listed in Alexandria via LeMat-Bulk.

The value obtained for the formation energy is -0.252 eV per atom.

It has space group C2/c (No. 15), with a = 10.109 Å, b = 5.339 Å, c = 8.422 Å, α = 90.00°, β = 111.05° and γ = 90.00°. The inequivalent atoms are Pu at (0.146, 0.155, 0.146), Sn at (0.000, 0.353, 0.750) and Ru at (0.140, 0.342, 0.528).

Entry 5:
First-principles (PBE-GGA) data for Tl2CoTeI after structural relaxation, as listed in Alexandria via LeMat-Bulk.

The formation energy without anion corrections is 3.64 kcal/mol of atoms.

It has space group P4/mmm (No. 123), with a = 6.611 Å, b = 6.611 Å, c = 4.732 Å, α = 90.00°, β = 90.00° and γ = 90.00°. The inequivalent atoms are Tl at (0.000, 0.500, 0.000), Co at (0.000, 0.000, 0.500), Te at (0.000, 0.000, 0.000) and I at (0.500, 0.500, 0.500).

Entry 6:
First-principles (PBE-GGA) data for LaAl3Au4 after structural relaxation, as listed in Alexandria via LeMat-Bulk.

The value obtained for the formation energy is -0.560 eV per atom.

It has space group P4/mmm (No. 123), with a = 4.440 Å, b = 4.440 Å, c = 8.250 Å, α = 90.00°, β = 90.00° and γ = 90.00°. The inequivalent atoms are La at (0.000, 0.000, 0.000), Al at (0.000, 0.000, 0.500), Al at (0.500, 0.500, 0.158) and Au at (0.000, 0.500, 0.320).

Entry 7:
First-principles (PBE-GGA) data for Ti2NiPt2 after structural relaxation, as listed in Alexandria via LeMat-Bulk.

The value obtained for the formation energy is -0.463 eV per atom. The calculation puts the energy relative to the lowest polymorph listed for this composition at 151 meV/atom.

It has space group P4/mbm (No. 127), with a = 7.322 Å, b = 7.322 Å, c = 3.007 Å, α = 90.00°, β = 90.00° and γ = 90.00°. The inequivalent atoms are Ti at (0.160, 0.340, 0.000), Ni at (0.000, 0.000, 0.000) and Pt at (0.139, 0.639, 0.500).

Entry 8:
First-principles (PBE-GGA) data for Ce2YPu3P6 after structural relaxation, as listed in Alexandria via LeMat-Bulk.

The value obtained for the formation energy is -1.352 eV per atom.

It has space group C2/m (No. 12), with a = 6.999 Å, b = 12.121 Å, c = 6.960 Å, α = 90.00°, β = 109.59° and γ = 90.00°. The inequivalent atoms are Ce at (0.000, 0.167, 0.000), Y at (0.000, 0.500, 0.000), Pu at (0.000, 0.000, 0.500), Pu at (0.000, 0.333, 0.500), P at (0.246, 0.500, 0.743) and P at (0.249, 0.166, 0.744).

Entry 9:
First-principles (PBE-GGA) data for CsSr2VCl8 after structural relaxation, as listed in Alexandria via LeMat-Bulk.

The formation energy without anion corrections is -43.77 kcal/mol of atoms.

It has space group P-1 (No. 2), with a = 6.459 Å, b = 6.516 Å, c = 9.151 Å, α = 89.88°, β = 89.77° and γ = 89.46°. The inequivalent atoms are Cs at (0.000, 0.000, 0.000), Sr at (0.499, 0.500, 0.259), V at (0.000, 0.000, 0.500), Cl at (0.214, 0.845, 0.682), Cl at (0.216, 0.848, 0.317), Cl at (0.237, 0.301, 0.501) and Cl at (0.260, 0.423, 0.001).

Entry 10:
First-principles (PBE-GGA) data for Pm4Te2O3 after structural relaxation, as listed in Alexandria via LeMat-Bulk.

The formation energy without anion corrections is -53.32 kcal/mol of atoms.

It has space group Fmmm (No. 69), with a = 6.439 Å, b = 6.459 Å, c = 20.095 Å, α = 90.00°, β = 90.00° and γ = 90.00°. The inequivalent atoms are Pm at (0.000, 0.000, 0.209), Pm at (0.250, 0.250, 0.000), Te at (0.000, 0.000, 0.383), O at (0.000, 0.000, 0.000) and O at (0.250, 0.250, 0.250).

Entry 11:
First-principles (PBE-GGA) data for Ga2AgPb after structural relaxation, as listed in Alexandria via LeMat-Bulk.

The value obtained for the formation energy is 0.093 eV per atom.

It has space group R3m (No. 160, hexagonal axes), with a = 4.4413 Å, b = 4.4413 Å, c = 16.5572 Å, α = 90.00°, β = 90.00° and γ = 120.00°. The inequivalent atoms are Ga at (0.0000, 0.0000, 0.0000), Ga at (0.0000, 0.0000, 0.2278), Ag at (0.0000, 0.0000, 0.5973) and Pb at (0.0000, 0.0000, 0.7861).

Entry 12:
First-principles (PBE-GGA) data for Zr2TaAs after structural relaxation, as listed in Alexandria via LeMat-Bulk.

The value obtained for the formation energy is -0.467 eV per atom.

It has space group P4/mmm (No. 123), with a = 3.540 Å, b = 3.540 Å, c = 6.225 Å, α = 90.00°, β = 90.00° and γ = 90.00°. The inequivalent atoms are Zr at (0.000, 0.000, 0.239), Ta at (0.500, 0.500, 0.500) and As at (0.500, 0.500, 0.000).

Entry 13:
First-principles (PBE-GGA) data for NaCrAs2 after structural relaxation, as listed in Alexandria via LeMat-Bulk.

The value obtained for the formation energy is 0.051 eV per atom. The calculation puts the energy relative to the lowest polymorph listed for this composition at 236 meV/atom.

It has space group Fm-3m (No. 225), with a = 6.610 Å, b = 6.610 Å, c = 6.610 Å, α = 90.00°, β = 90.00° and γ = 90.00°. The inequivalent atoms are Na at (0.000, 0.000, 0.000), Cr at (0.000, 0.000, 0.500) and As at (0.250, 0.250, 0.250).

Entry 14:
First-principles (PBE-GGA) data for TaCuBr2 after structural relaxation, as listed in Alexandria via LeMat-Bulk.

The formation energy without anion corrections is 12.35 kcal/mol of atoms. The calculation puts the energy relative to the lowest polymorph listed for this composition at 672 meV/atom.

It has space group C2/m (No. 12), with a = 6.301 Å, b = 8.423 Å, c = 3.190 Å, α = 90.00°, β = 91.76° and γ = 90.00°. The inequivalent atoms are Ta at (0.000, 0.000, 0.000), Cu at (0.000, 0.500, 0.000) and Br at (0.250, 0.250, 0.000).

Entry 15:
First-principles (PBE-GGA) data for La9PmY2 after structural relaxation, as listed in Alexandria via LeMat-Bulk.

The value obtained for the formation energy is 0.007 eV per atom.

It has space group P4/mmm (No. 123), with a = 5.222 Å, b = 5.222 Å, c = 15.676 Å, α = 90.00°, β = 90.00° and γ = 90.00°. The inequivalent atoms are La at (0.000, 0.000, 0.000), La at (0.000, 0.000, 0.334), La at (0.000, 0.500, 0.167), La at (0.000, 0.500, 0.500), Pm at (0.500, 0.500, 0.000) and Y at (0.500, 0.500, 0.334).

Entry 16:
First-principles (PBE-GGA) data for Ce4HgTe5 after structural relaxation, as listed in Alexandria via LeMat-Bulk.

The formation energy without anion corrections is -22.86 kcal/mol of atoms.

It has space group C2/m (No. 12), with a = 19.749 Å, b = 4.454 Å, c = 9.351 Å, α = 90.00°, β = 108.00° and γ = 90.00°. The inequivalent atoms are Ce at (0.005, 0.000, 0.267), Ce at (0.176, 0.500, 0.108), Hg at (0.000, 0.500, 0.000), Te at (0.000, 0.500, 0.500), Te at (0.162, 0.000, 0.857) and Te at (0.166, 0.000, 0.331).

Entry 17:
First-principles (PBE-GGA) data for Na3Pu4Te8 after structural relaxation, as listed in Alexandria via LeMat-Bulk.

The formation energy without anion corrections is -21.02 kcal/mol of atoms.

It has space group C2/m (No. 12), with a = 12.548 Å, b = 12.762 Å, c = 8.925 Å, α = 90.00°, β = 134.58° and γ = 90.00°. The inequivalent atoms are Na at (0.000, 0.000, 0.000), Na at (0.250, 0.250, 0.000), Pu at (0.000, 0.500, 0.000), Pu at (0.000, 0.500, 0.500), Pu at (0.250, 0.250, 0.500), Te at (0.000, 0.255, 0.000), Te at (0.000, 0.256, 0.500), Te at (0.230, 0.500, 0.977) and Te at (0.247, 0.500, 0.492).

Entry 18:
First-principles (PBE-GGA) data for TmBeAl after structural relaxation, as listed in Alexandria via LeMat-Bulk.

The value obtained for the formation energy is -0.175 eV per atom. The calculation puts the energy relative to the lowest polymorph listed for this composition at 88 meV/atom.

It has space group F-43m (No. 216), with a = 6.110 Å, b = 6.110 Å, c = 6.110 Å, α = 90.00°, β = 90.00° and γ = 90.00°. The inequivalent atoms are Tm at (0.000, 0.000, 0.000), Be at (0.250, 0.250, 0.250) and Al at (0.000, 0.000, 0.500).

Entry 19:
First-principles (PBE-GGA) data for Co5Re after structural relaxation, as listed in Alexandria via LeMat-Bulk.

The value obtained for the formation energy is 0.197 eV per atom. The calculation puts the energy relative to the lowest polymorph listed for this composition at 168 meV/atom.

It has space group F-43m (No. 216), with a = 6.478 Å, b = 6.478 Å, c = 6.478 Å, α = 90.00°, β = 90.00° and γ = 90.00°. The inequivalent atoms are Co at (0.000, 0.000, 0.000), Co at (0.125, 0.125, 0.375) and Re at (0.250, 0.250, 0.750).

Entry 20:
First-principles (PBE-GGA) data for Nd15Dy4Tl after structural relaxation, as listed in Alexandria via LeMat-Bulk.

The value obtained for the formation energy is -0.024 eV per atom.

It has space group P4/mmm (No. 123), with a = 5.110 Å, b = 5.110 Å, c = 25.830 Å, α = 90.00°, β = 90.00° and γ = 90.00°. The inequivalent atoms are Nd at (0.000, 0.000, 0.000), Nd at (0.000, 0.000, 0.197), Nd at (0.000, 0.000, 0.399), Nd at (0.000, 0.500, 0.097), Nd at (0.000, 0.500, 0.299), Nd at (0.000, 0.500, 0.500), Dy at (0.500, 0.500, 0.198), Dy at (0.500, 0.500, 0.400) and Tl at (0.500, 0.500, 0.000).

no.,mass density (g cm⁻³)
1,5.52
2,10.20
3,5.55
4,12.66
5,5.80
6,10.29
7,11.22
8,7.68
9,2.77
10,7.02
11,8.01
12,9.33
13,5.17
14,7.93
15,6.11
16,5.94
17,6.74
18,5.97
19,11.75
20,7.43